DFT (PBE) results for a relaxed structure of Al2PBr.

a = 4.7130 Å, b = 4.7130 Å, c = 4.7130 Å
α = 60.00°, β = 60.00°, γ = 60.00°
With the nearest neighbours (Å) after each atom.
Sites, in units of the cell vectors:
P  0.0000  0.0000  0.0000  8 Al 2.89
Al  0.2500  0.2500  0.2500  4 Br 2.89, 4 P 2.89
Al  0.7500  0.7500  0.7500  4 P 2.89, 4 Br 2.89
Br  0.5000  0.5000  0.5000  8 Al 2.89

Summary:
E_form (uncorrected) = 176 meV per atom
Energy relative to the lowest polymorph listed for this composition = 1.754 eV/f.u.
Total magnetic moment = 0.0 μB/cell